Density functional theory data (PBE-GGA) for a geometry-optimized La2OsPdN structure.

abc: 5.277 5.277 3.815
angles: 90.00 90.00 90.00
Sites, in units of the cell vectors:
1 N 0.000 0.000 0.000
2 Os 0.000 0.000 0.500
3 Pd 0.500 0.500 0.500
4 La 0.000 0.500 0.000
5 La 0.500 0.000 0.000

Calculated values
raw formation energy: -0.75 eV per atom
E_tot: -7.67 eV/atom